Density functional theory data (PBE+U) for AgMo2F after structural relaxation. Values from VASP.

```
&SYSTEM
  ibrav = 0, nat = 8, ntyp = 3
/
ATOMIC_SPECIES
Mo 95.94 Mo.upf
F 19.00 F.upf
Ag 107.87 Ag.upf
CELL_PARAMETERS angstrom
6.955 0.000 0.000
0.000 6.955 0.000
3.477 3.477 2.736
ATOMIC_POSITIONS crystal
Mo 0.875 0.812 0.750
Mo 0.375 0.438 0.750
Mo 0.562 0.125 0.250
Mo 0.188 0.625 0.250
F 0.500 0.500 0.000
F 0.250 0.750 0.500
Ag 0.000 0.000 0.000
Ag 0.750 0.250 0.500
```

Properties
D(E_F) = 3.37 states/eV/f.u.
E = -3.76 eV per atom
Space-group type = I-42d, No. 122